# NdB4Au PBE relaxed
# Volume, A^3/atom: 11.5
# E, eV per atom: -5.605
# ΔE to the lowest computed polymorph, eV per atom: 0.140
data_NdB4Au
_chemical_formula_sum 'Nd1 B4 Au1'
_symmetry_space_group_name_H-M 'P 6/m m m'
_symmetry_Int_Tables_number 191
_symmetry_space_group_name_Hall '-P 6 2'
_cell_length_a 3.2610
_cell_length_b 3.2610
_cell_length_c 7.5041
_cell_angle_alpha 90.00
_cell_angle_beta 90.00
_cell_angle_gamma 120.00
loop_
_atom_site_label
_atom_site_fract_x
_atom_site_fract_y
_atom_site_fract_z
Nd1 0.0000 0.0000 0.0000
B1 0.3333 0.6667 0.2669
Au1 0.0000 0.0000 0.5000

# NiB2Au PBE relaxed
# Volume, A^3/atom: 11.1
# E, eV per atom: -4.298
data_NiB2Au
_chemical_formula_sum 'Ni4 B8 Au4'
_symmetry_space_group_name_H-M 'F -4 3 m'
_symmetry_Int_Tables_number 216
_symmetry_space_group_name_Hall 'F -4 2 3'
_cell_length_a 5.627
_cell_length_b 5.627
_cell_length_c 5.627
_cell_angle_alpha 90.00
_cell_angle_beta 90.00
_cell_angle_gamma 90.00
loop_
_atom_site_label
_atom_site_fract_x
_atom_site_fract_y
_atom_site_fract_z
Ni1 0.000 0.000 0.000
B1 0.000 0.000 0.500
B2 0.250 0.250 0.750
Au1 0.250 0.250 0.250

# NiBPtAu PBE relaxed
# Volume, A^3/atom: 12.8
# E, eV per atom: -4.883
# ΔE to the lowest computed polymorph, eV per atom: 0.000
data_NiBPtAu
_chemical_formula_sum 'Ni4 B4 Pt4 Au4'
_symmetry_space_group_name_H-M 'F -4 3 m'
_symmetry_Int_Tables_number 216
_symmetry_space_group_name_Hall 'F -4 2 3'
_cell_length_a 5.897
_cell_length_b 5.897
_cell_length_c 5.897
_cell_angle_alpha 90.00
_cell_angle_beta 90.00
_cell_angle_gamma 90.00
loop_
_atom_site_label
_atom_site_fract_x
_atom_site_fract_y
_atom_site_fract_z
Ni1 0.000 0.000 0.000
B1 0.000 0.000 0.500
Pt1 0.250 0.250 0.250
Au1 0.250 0.250 0.750

# NiBPtAu PBE relaxed
# Volume, A^3/atom: 13.3
# E, eV per atom: -4.756
# ΔE to the lowest computed polymorph, eV per atom: 0.127
data_NiBPtAu
_chemical_formula_sum 'Ni4 B4 Pt4 Au4'
_symmetry_space_group_name_H-M 'F -4 3 m'
_symmetry_Int_Tables_number 216
_symmetry_space_group_name_Hall 'F -4 2 3'
_cell_length_a 5.968
_cell_length_b 5.968
_cell_length_c 5.968
_cell_angle_alpha 90.00
_cell_angle_beta 90.00
_cell_angle_gamma 90.00
loop_
_atom_site_label
_atom_site_fract_x
_atom_site_fract_y
_atom_site_fract_z
Ni1 0.000 0.000 0.000
B1 0.250 0.250 0.750
Pt1 0.000 0.000 0.500
Au1 0.250 0.250 0.250

# ReNiBAu PBE relaxed
# Volume, A^3/atom: 12.4
# E, eV per atom: -6.291
data_ReNiBAu
_chemical_formula_sum 'Re4 Ni4 B4 Au4'
_symmetry_space_group_name_H-M 'F -4 3 m'
_symmetry_Int_Tables_number 216
_symmetry_space_group_name_Hall 'F -4 2 3'
_cell_length_a 5.825
_cell_length_b 5.825
_cell_length_c 5.825
_cell_angle_alpha 90.00
_cell_angle_beta 90.00
_cell_angle_gamma 90.00
loop_
_atom_site_label
_atom_site_fract_x
_atom_site_fract_y
_atom_site_fract_z
Re1 0.000 0.000 0.000
Ni1 0.250 0.250 0.750
B1 0.250 0.250 0.250
Au1 0.000 0.000 0.500

# SiNiBAu PBE relaxed
# Volume, A^3/atom: 12.3
# E, eV per atom: -4.599
# ΔE to the lowest computed polymorph, eV per atom: 0.000
data_SiNiBAu
_chemical_formula_sum 'Si4 Ni4 B4 Au4'
_symmetry_space_group_name_H-M 'F -4 3 m'
_symmetry_Int_Tables_number 216
_symmetry_space_group_name_Hall 'F -4 2 3'
_cell_length_a 5.817
_cell_length_b 5.817
_cell_length_c 5.817
_cell_angle_alpha 90.00
_cell_angle_beta 90.00
_cell_angle_gamma 90.00
loop_
_atom_site_label
_atom_site_fract_x
_atom_site_fract_y
_atom_site_fract_z
Si1 0.000 0.000 0.000
Ni1 0.250 0.250 0.750
B1 0.000 0.000 0.500
Au1 0.250 0.250 0.250

# SiNiBAu PBE relaxed
# Volume, A^3/atom: 12.6
# E, eV per atom: -4.502
# ΔE to the lowest computed polymorph, eV per atom: 0.097
data_SiNiBAu
_chemical_formula_sum 'Si4 Ni4 B4 Au4'
_symmetry_space_group_name_H-M 'F -4 3 m'
_symmetry_Int_Tables_number 216
_symmetry_space_group_name_Hall 'F -4 2 3'
_cell_length_a 5.865
_cell_length_b 5.865
_cell_length_c 5.865
_cell_angle_alpha 90.00
_cell_angle_beta 90.00
_cell_angle_gamma 90.00
loop_
_atom_site_label
_atom_site_fract_x
_atom_site_fract_y
_atom_site_fract_z
Si1 0.000 0.000 0.000
Ni1 0.250 0.250 0.750
B1 0.250 0.250 0.250
Au1 0.000 0.000 0.500

# TaNiBAu PBE relaxed
# Volume, A^3/atom: 13.1
# E, eV per atom: -6.544
# ΔE to the lowest computed polymorph, eV per atom: 0.000
data_TaNiBAu
_chemical_formula_sum 'Ta4 Ni4 B4 Au4'
_symmetry_space_group_name_H-M 'F -4 3 m'
_symmetry_Int_Tables_number 216
_symmetry_space_group_name_Hall 'F -4 2 3'
_cell_length_a 5.939
_cell_length_b 5.939
_cell_length_c 5.939
_cell_angle_alpha 90.00
_cell_angle_beta 90.00
_cell_angle_gamma 90.00
loop_
_atom_site_label
_atom_site_fract_x
_atom_site_fract_y
_atom_site_fract_z
Ta1 0.000 0.000 0.000
Ni1 0.250 0.250 0.750
B1 0.250 0.250 0.250
Au1 0.000 0.000 0.500

# TaNiBAu PBE relaxed
# Volume, A^3/atom: 13.6
# E, eV per atom: -6.418
# ΔE to the lowest computed polymorph, eV per atom: 0.126
data_TaNiBAu
_chemical_formula_sum 'Ta4 Ni4 B4 Au4'
_symmetry_space_group_name_H-M 'F -4 3 m'
_symmetry_Int_Tables_number 216
_symmetry_space_group_name_Hall 'F -4 2 3'
_cell_length_a 6.015
_cell_length_b 6.015
_cell_length_c 6.015
_cell_angle_alpha 90.00
_cell_angle_beta 90.00
_cell_angle_gamma 90.00
loop_
_atom_site_label
_atom_site_fract_x
_atom_site_fract_y
_atom_site_fract_z
Ta1 0.000 0.000 0.000
Ni1 0.000 0.000 0.500
B1 0.250 0.250 0.250
Au1 0.250 0.250 0.750

# ZnNiBAu PBE relaxed
# Volume, A^3/atom: 12.5
# E, eV per atom: -3.618
data_ZnNiBAu
_chemical_formula_sum 'Zn4 Ni4 B4 Au4'
_symmetry_space_group_name_H-M 'F -4 3 m'
_symmetry_Int_Tables_number 216
_symmetry_space_group_name_Hall 'F -4 2 3'
_cell_length_a 5.843
_cell_length_b 5.843
_cell_length_c 5.843
_cell_angle_alpha 90.00
_cell_angle_beta 90.00
_cell_angle_gamma 90.00
loop_
_atom_site_label
_atom_site_fract_x
_atom_site_fract_y
_atom_site_fract_z
Zn1 0.000 0.000 0.000
Ni1 0.250 0.250 0.250
B1 0.250 0.250 0.750
Au1 0.000 0.000 0.500

# ZrNiBAu PBE relaxed
# Volume, A^3/atom: 14.9
# E, eV per atom: -5.687
# ΔE to the lowest computed polymorph, eV per atom: 0.279
data_ZrNiBAu
_chemical_formula_sum 'Zr4 Ni4 B4 Au4'
_symmetry_space_group_name_H-M 'F -4 3 m'
_symmetry_Int_Tables_number 216
_symmetry_space_group_name_Hall 'F -4 2 3'
_cell_length_a 6.195
_cell_length_b 6.195
_cell_length_c 6.195
_cell_angle_alpha 90.00
_cell_angle_beta 90.00
_cell_angle_gamma 90.00
loop_
_atom_site_label
_atom_site_fract_x
_atom_site_fract_y
_atom_site_fract_z
Zr1 0.000 0.000 0.000
Ni1 0.250 0.250 0.750
B1 0.000 0.000 0.500
Au1 0.250 0.250 0.250

# ZrNiBAu PBE relaxed
# Volume, A^3/atom: 14.0
# E, eV per atom: -5.966
# ΔE to the lowest computed polymorph, eV per atom: 0.000
data_ZrNiBAu
_chemical_formula_sum 'Zr4 Ni4 B4 Au4'
_symmetry_space_group_name_H-M 'F -4 3 m'
_symmetry_Int_Tables_number 216
_symmetry_space_group_name_Hall 'F -4 2 3'
_cell_length_a 6.074
_cell_length_b 6.074
_cell_length_c 6.074
_cell_angle_alpha 90.00
_cell_angle_beta 90.00
_cell_angle_gamma 90.00
loop_
_atom_site_label
_atom_site_fract_x
_atom_site_fract_y
_atom_site_fract_z
Zr1 0.000 0.000 0.000
Ni1 0.250 0.250 0.750
B1 0.250 0.250 0.250
Au1 0.000 0.000 0.500

# ZrNiBAu PBE relaxed
# Volume, A^3/atom: 14.7
# E, eV per atom: -5.863
# ΔE to the lowest computed polymorph, eV per atom: 0.104
data_ZrNiBAu
_chemical_formula_sum 'Zr4 Ni4 B4 Au4'
_symmetry_space_group_name_H-M 'F -4 3 m'
_symmetry_Int_Tables_number 216
_symmetry_space_group_name_Hall 'F -4 2 3'
_cell_length_a 6.174
_cell_length_b 6.174
_cell_length_c 6.174
_cell_angle_alpha 90.00
_cell_angle_beta 90.00
_cell_angle_gamma 90.00
loop_
_atom_site_label
_atom_site_fract_x
_atom_site_fract_y
_atom_site_fract_z
Zr1 0.000 0.000 0.000
Ni1 0.000 0.000 0.500
B1 0.250 0.250 0.750
Au1 0.250 0.250 0.250

# BAuO3 PBE relaxed
# Volume, A^3/atom: 11.4
# E, eV per atom: -6.069
data_BAuO3
_chemical_formula_sum 'B4 Au4 O12'
_symmetry_space_group_name_H-M 'P 1 21/c 1'
_symmetry_Int_Tables_number 14
_cell_length_a 7.377
_cell_length_b 4.660
_cell_length_c 7.134
_cell_angle_alpha 90.00
_cell_angle_beta 112.23
_cell_angle_gamma 90.00
loop_
_symmetry_equiv_pos_as_xyz
'x,y,z'
'-x,-y,-z'
'-x,y+1/2,-z+1/2'
'x,-y+1/2,z+1/2'
loop_
_atom_site_label
_atom_site_fract_x
_atom_site_fract_y
_atom_site_fract_z
B1 0.246 0.230 0.146
Au1 0.249 0.750 0.397
O1 0.131 0.097 0.230
O2 0.240 0.534 0.143
O3 0.363 0.102 0.063

# B2Au2O5 PBE relaxed
# Volume, A^3/atom: 9.2
# E, eV per atom: -5.075
# ΔE to the lowest computed polymorph, eV per atom: 0.000
data_B2Au2O5
_chemical_formula_sum 'B2 Au2 O5'
_symmetry_space_group_name_H-M 'P 4/m m m'
_symmetry_Int_Tables_number 123
_symmetry_space_group_name_Hall '-P 4 2'
_cell_length_a 3.411
_cell_length_b 3.411
_cell_length_c 7.141
_cell_angle_alpha 90.00
_cell_angle_beta 90.00
_cell_angle_gamma 90.00
loop_
_atom_site_label
_atom_site_fract_x
_atom_site_fract_y
_atom_site_fract_z
B1 0.000 0.000 0.202
Au1 0.500 0.500 0.000
Au2 0.500 0.500 0.500
O1 0.000 0.000 0.000
O2 0.000 0.500 0.272

# B2Au2O5 PBE relaxed
# Volume, A^3/atom: 12.6
# E, eV per atom: -3.913
# ΔE to the lowest computed polymorph, eV per atom: 1.161
data_B2Au2O5
_chemical_formula_sum 'B2 Au2 O5'
_symmetry_space_group_name_H-M 'P 4/m m m'
_symmetry_Int_Tables_number 123
_symmetry_space_group_name_Hall '-P 4 2'
_cell_length_a 3.747
_cell_length_b 3.747
_cell_length_c 8.071
_cell_angle_alpha 90.00
_cell_angle_beta 90.00
_cell_angle_gamma 90.00
loop_
_atom_site_label
_atom_site_fract_x
_atom_site_fract_y
_atom_site_fract_z
B1 0.000 0.000 0.000
B2 0.000 0.000 0.500
Au1 0.500 0.500 0.227
O1 0.000 0.500 0.143
O2 0.500 0.500 0.500

# BPAuO PBE relaxed
# Volume, A^3/atom: 12.9
# E, eV per atom: -4.425
# ΔE to the lowest computed polymorph, eV per atom: 1.419
data_BPAuO
_chemical_formula_sum 'B2 P2 Au2 O2'
_symmetry_space_group_name_H-M 'P 4/n m m'
_symmetry_Int_Tables_number 129
_cell_length_a 4.131
_cell_length_b 4.131
_cell_length_c 6.056
_cell_angle_alpha 90.00
_cell_angle_beta 90.00
_cell_angle_gamma 90.00
loop_
_symmetry_equiv_pos_as_xyz
'x,y,z'
'-x,-y,-z'
'-y+1/2,x,z'
'y+1/2,-x,-z'
'-x+1/2,-y+1/2,z'
'x+1/2,y+1/2,-z'
'y,-x+1/2,z'
'-y,x+1/2,-z'
'x+1/2,-y,-z'
'-x+1/2,y,z'
'-y,-x,-z'
'y,x,z'
'-x,y+1/2,-z'
'x,-y+1/2,z'
'y+1/2,x+1/2,-z'
'-y+1/2,-x+1/2,z'
loop_
_atom_site_label
_atom_site_fract_x
_atom_site_fract_y
_atom_site_fract_z
B1 0.250 0.750 0.000
P1 0.250 0.250 0.055
Au1 0.250 0.250 0.611
O1 0.250 0.750 0.500

# BPAuO PBE relaxed
# Volume, A^3/atom: 13.6
# E, eV per atom: -5.844
# ΔE to the lowest computed polymorph, eV per atom: 0.000
data_BPAuO
_chemical_formula_sum 'B2 P2 Au2 O2'
_symmetry_space_group_name_H-M 'P m c 21'
_symmetry_Int_Tables_number 26
_cell_length_a 3.207
_cell_length_b 7.804
_cell_length_c 4.345
_cell_angle_alpha 90.00
_cell_angle_beta 90.00
_cell_angle_gamma 90.00
loop_
_symmetry_equiv_pos_as_xyz
'x,y,z'
'-x,-y,z+1/2'
'-x,y,z'
'x,-y,z+1/2'
loop_
_atom_site_label
_atom_site_fract_x
_atom_site_fract_y
_atom_site_fract_z
B1 0.000 0.089 0.000
P1 0.500 0.255 0.933
Au1 0.500 0.394 0.438
O1 0.000 0.056 0.317

# BPAuO PBE relaxed
# Volume, A^3/atom: 14.1
# E, eV per atom: -4.777
# ΔE to the lowest computed polymorph, eV per atom: 1.067
data_BPAuO
_chemical_formula_sum 'B2 P2 Au2 O2'
_symmetry_space_group_name_H-M 'P 4/n m m'
_symmetry_Int_Tables_number 129
_cell_length_a 3.709
_cell_length_b 3.709
_cell_length_c 8.207
_cell_angle_alpha 90.00
_cell_angle_beta 90.00
_cell_angle_gamma 90.00
loop_
_symmetry_equiv_pos_as_xyz
'x,y,z'
'-x,-y,-z'
'-y+1/2,x,z'
'y+1/2,-x,-z'
'-x+1/2,-y+1/2,z'
'x+1/2,y+1/2,-z'
'y,-x+1/2,z'
'-y,x+1/2,-z'
'x+1/2,-y,-z'
'-x+1/2,y,z'
'-y,-x,-z'
'y,x,z'
'-x,y+1/2,-z'
'x,-y+1/2,z'
'y+1/2,x+1/2,-z'
'-y+1/2,-x+1/2,z'
loop_
_atom_site_label
_atom_site_fract_x
_atom_site_fract_y
_atom_site_fract_z
B1 0.250 0.250 0.061
P1 0.250 0.250 0.295
Au1 0.250 0.750 0.500
O1 0.250 0.750 0.000

# BPAuO PBE relaxed
# Volume, A^3/atom: 13.2
# E, eV per atom: -5.673
# ΔE to the lowest computed polymorph, eV per atom: 0.171
data_BPAuO
_chemical_formula_sum 'B2 P2 Au2 O2'
_symmetry_space_group_name_H-M 'P m c 21'
_symmetry_Int_Tables_number 26
_cell_length_a 2.565
_cell_length_b 6.904
_cell_length_c 5.964
_cell_angle_alpha 90.00
_cell_angle_beta 90.00
_cell_angle_gamma 90.00
loop_
_symmetry_equiv_pos_as_xyz
'x,y,z'
'-x,-y,z+1/2'
'-x,y,z'
'x,-y,z+1/2'
loop_
_atom_site_label
_atom_site_fract_x
_atom_site_fract_y
_atom_site_fract_z
B1 0.000 0.143 0.000
P1 0.000 0.120 0.343
Au1 0.500 0.415 0.458
O1 0.500 0.236 0.938